# 1
Crystalline NaPtAuSe3 at its relaxed geometry, computed with PBE.

Values from the calculation:
DFT total energy: -3.8765 eV/atom
Space-group type: Cmcm (63)

Cell and atoms, written as POSCAR:
```
NaPtAuSe3
1.0
1.874 -7.208 0.000
1.874 7.208 0.000
0.000 0.000 10.422
Na Pt Au Se
2 2 2 6
Direct
0.210 0.790 0.750
0.790 0.210 0.250
0.500 0.500 0.000
0.500 0.500 0.500
0.127 0.873 0.250
0.873 0.127 0.750
0.117 0.883 0.015
0.117 0.883 0.485
0.451 0.549 0.250
0.549 0.451 0.750
0.883 0.117 0.515
0.883 0.117 0.985
```

# 2
Crystalline KTe4IrAu3 at its relaxed geometry, computed with PBE.

Values from the calculation:
DFT total energy: -3.6062 eV/atom
Space-group type: P-43m (215)

Cell and atoms, written as POSCAR:
```
KTe4IrAu3
1.0
6.810 0.000 0.000
0.000 6.810 0.000
0.000 0.000 6.810
K Te Ir Au
1 4 1 3
Direct
0.000 0.000 0.000
0.284 0.284 0.284
0.284 0.716 0.716
0.716 0.284 0.716
0.716 0.716 0.284
0.500 0.500 0.500
0.000 0.500 0.500
0.500 0.000 0.500
0.500 0.500 0.000
```

# 3
Crystalline TbAl at its relaxed geometry, computed with PBE.

Values from the calculation:
DFT total energy: -4.1084 eV/atom
Space-group type: Fm-3m (225)

Cell and atoms, written as POSCAR:
```
TbAl
1.0
0.000 3.018 3.018
3.018 0.000 3.018
3.018 3.018 0.000
Tb Al
1 1
Direct
0.000 0.000 0.000
0.500 0.500 0.500
```

# 4
Crystalline Si6Ni3Au at its relaxed geometry, computed with PBE.

Values from the calculation:
DFT total energy: -5.5810 eV/atom
Space-group type: R-3m (166)

Cell and atoms, written as POSCAR:
```
Si6Ni3Au
1.0
1.886 1.089 11.328
-1.886 1.089 11.328
0.000 -2.178 11.328
Si Ni Au
6 3 1
Direct
0.070 0.070 0.070
0.214 0.214 0.214
0.358 0.358 0.358
0.642 0.642 0.642
0.786 0.786 0.786
0.930 0.930 0.930
0.000 0.000 0.000
0.425 0.425 0.425
0.575 0.575 0.575
0.500 0.500 0.500
```

# 5
Crystalline HoSi2TcAg at its relaxed geometry, computed with PBE.

Values from the calculation:
DFT total energy: -6.1524 eV/atom
Space-group type: I-4m2 (119)

Cell and atoms, written as POSCAR:
```
HoSi2TcAg
1.0
-2.051 2.051 5.169
2.051 -2.051 5.169
2.051 2.051 -5.169
Ho Si Tc Ag
1 2 1 1
Direct
0.000 0.000 0.000
0.385 0.385 0.000
0.615 0.615 0.000
0.250 0.750 0.500
0.750 0.250 0.500
```

# 6
Crystalline SmAsN2O at its relaxed geometry, computed with PBE.

Values from the calculation:
DFT total energy: -6.9085 eV/atom
Space-group type: P6_3cm (185)

Cell and atoms, written as POSCAR:
```
SmAsN2O
1.0
6.483 0.000 0.000
-3.241 5.614 0.000
0.000 0.000 11.352
Sm As N O
6 6 12 6
Direct
0.000 0.000 0.000
0.000 0.000 0.500
0.333 0.667 0.469
0.333 0.667 0.969
0.667 0.333 0.469
0.667 0.333 0.969
0.000 0.334 0.232
0.000 0.666 0.732
0.334 0.000 0.232
0.334 0.334 0.732
0.666 0.000 0.732
0.666 0.666 0.232
0.000 0.315 0.385
0.000 0.352 0.080
0.000 0.648 0.580
0.000 0.685 0.885
0.315 0.000 0.385
0.315 0.315 0.885
0.352 0.000 0.080
0.352 0.352 0.580
0.648 0.000 0.580
0.648 0.648 0.080
0.685 0.000 0.885
0.685 0.685 0.385
0.000 0.000 0.214
0.000 0.000 0.714
0.333 0.667 0.246
0.333 0.667 0.746
0.667 0.333 0.246
0.667 0.333 0.746
```

Computed spin magnetization (μB per formula unit) in order:
0.01, 0.00, 0.33, 0.01, 0.01, 0.00